TiSe2NF, optimized geometry, DFT PBE; crystal system = tetragonal; total magnetization = 0.87 μB per formula unit; theoretical density = 4.267 Mg/m³; E_form (uncorrected) = -2.8 kJ per mole of atoms; space-group type = P4/mmm, No. 123
1.0
4.925 0.000 0.000
0.000 4.925 0.000
0.000 0.000 3.832
Se F N Ti
2 1 1 1
Direct
0.500 0.000 0.000
0.000 0.500 0.000
0.500 0.500 0.500
0.000 0.000 0.500
0.000 0.000 0.000

TlSe2NF, optimized geometry, DFT PBE; crystal system = tetragonal; total magnetization = 3.02 μB per formula unit; theoretical density = 5.878 Mg/m³; E_form (uncorrected) = 85.2 kJ per mole of atoms; space-group type = P4/mmm, No. 123
1.0
-4.191 0.244 -1.660
0.863 -3.517 -2.696
-1.746 -3.423 3.906
F N Tl Se
1 1 1 2
Direct
0.000 0.000 0.000
0.000 0.000 0.500
0.500 0.500 0.500
0.500 0.000 0.000
0.000 0.500 0.000

TlSeN2F, optimized geometry, DFT PBE; crystal system = tetragonal; total magnetization = 0.00 μB per formula unit; theoretical density = 6.727 Mg/m³; E_form (uncorrected) = 142.1 kJ per mole of atoms; space-group type = P4/mmm, No. 123
1.0
-3.212 -2.958 0.122
1.192 -1.457 -3.942
2.651 -2.803 1.838
N F Se Tl
2 1 1 1
Direct
0.000 0.500 0.000
0.500 0.000 0.000
0.000 0.000 0.500
0.500 0.500 0.500
0.000 0.000 0.000